--- A ---
# AgHg2Cl

A crystal of AgHg2Cl relaxed with PBEsol (SCAN, the Alexandria database).

Output
Space group: I-42d (122)

a b c (Å): 5.1002 6.8381 6.8381
angles (deg): 82.01 68.10 68.10
With the nearest neighbours (Å) after each atom.
Positions (direct):
Hg1 0.0535 0.0715 0.5715  2 Ag 2.83, 2 Hg 2.85
Hg2 0.6965 0.9285 0.4285  2 Ag 2.83, 2 Hg 2.85
Hg3 0.3750 0.5715 0.9285  2 Ag 2.83, 2 Hg 2.85
Hg4 0.8750 0.4285 0.0715  2 Ag 2.83, 2 Hg 2.85
Ag1 0.7500 0.5000 0.5000  2 Cl 2.55, 4 Hg 2.83
Ag2 0.0000 0.0000 0.0000  2 Cl 2.55, 4 Hg 2.83
Cl1 0.2500 0.5000 0.5000  2 Ag 2.55
Cl2 0.5000 0.0000 0.0000  2 Ag 2.55



--- B ---
# AgHg2Cl

A crystal of AgHg2Cl relaxed with PBEsol (SCAN, the Alexandria database).

Output
Space group: R3m (160)

a b c (Å): 3.5934 3.5934 8.3218
angles (deg): 77.53 77.53 60.00
With the nearest neighbours (Å) after each atom.
Positions (direct):
Hg1 0.0002 0.0002 0.9993  3 Hg 3.02, 3 Cl 3.11
Hg2 0.7578 0.7578 0.7265  3 Ag 2.83, 3 Hg 3.02
Ag1 0.5041 0.5041 0.4876  3 Cl 2.63, 3 Hg 2.83
Cl1 0.2378 0.2378 0.2866  3 Ag 2.63



--- C ---
# AgHg2Cl

A crystal of AgHg2Cl relaxed with PBEsol (SCAN, the Alexandria database).

Output
Space group: Fm-3m (225)

a b c (Å): 5.0005 5.0005 5.0005
angles (deg): 60.00 60.00 60.00
With the nearest neighbours (Å) after each atom.
Positions (direct):
Hg1 0.2500 0.2500 0.2500  4 Cl 3.06, 4 Ag 3.06
Hg2 0.7500 0.7500 0.7500  4 Cl 3.06, 4 Ag 3.06
Ag1 0.0000 0.0000 0.0000  8 Hg 3.06
Cl1 0.5000 0.5000 0.5000  8 Hg 3.06



Q: Which of them is the least stable? A: C.



--- A ---
# AgHg2Cl

A crystal of AgHg2Cl relaxed with PBEsol (SCAN, the Alexandria database).

Output
Space group: P4/mmm (123)

a b c (Å): 3.9921 3.9921 5.5215
angles (deg): 90.00 90.00 90.00
With the nearest neighbours (Å) after each atom.
Positions (direct):
Hg1 0.0000 0.5000 0.0000  4 Hg 2.82
Hg2 0.5000 0.0000 0.0000  4 Hg 2.82
Ag1 0.5000 0.5000 0.5000  4 Cl 2.82
Cl1 0.0000 0.0000 0.5000  4 Ag 2.82



--- B ---
# AgHg2Cl

A crystal of AgHg2Cl relaxed with PBEsol (SCAN, the Alexandria database).

Output
Space group: I-4m2 (119)

a b c (Å): 4.4769 5.2793 4.4769
angles (deg): 64.91 90.00 115.09
With the nearest neighbours (Å) after each atom.
Positions (direct):
Hg1 0.0000 0.0000 0.0000  4 Cl 3.08, 4 Hg 3.08, 4 Ag 3.17
Hg2 0.2500 0.5000 0.2500  4 Hg 3.08, 4 Ag 3.08, 4 Cl 3.17
Ag1 0.5000 0.0000 0.5000  8 Hg 3.08-3.17, 4 Cl 3.08
Cl1 0.7500 0.5000 0.7500  8 Hg 3.08-3.17, 4 Ag 3.08



--- C ---
# AgHg2Cl

A crystal of AgHg2Cl relaxed with PBEsol (SCAN, the Alexandria database).

Output
Space group: Cmmm (65)

a b c (Å): 3.3018 3.3018 8.4136
angles (deg): 90.00 90.00 112.05
With the nearest neighbours (Å) after each atom.
Positions (direct):
Hg1 0.0000 0.0000 0.2532  2 Ag 2.78, 2 Cl 2.82
Hg2 0.0000 0.0000 0.7468  2 Ag 2.78, 2 Cl 2.82
Ag1 0.5000 0.5000 0.5000  4 Hg 2.78
Cl1 0.5000 0.5000 0.0000  4 Hg 2.82



Q: Which of them is the least stable? A: B.



--- A ---
# AgHg2Cl

A crystal of AgHg2Cl relaxed with PBEsol (SCAN, the Alexandria database).

Output
Space group: R-3m (166)

a b c (Å): 3.5194 3.5194 8.3734
angles (deg): 77.87 77.87 60.00
With the nearest neighbours (Å) after each atom.
Positions (direct):
Hg1 0.2474 0.2474 0.2579  3 Ag 2.83, 3 Cl 2.92
Hg2 0.7526 0.7526 0.7422  3 Ag 2.83, 3 Cl 2.92
Ag1 0.5000 0.5000 0.5000  6 Hg 2.83
Cl1 0.0000 0.0000 0.0000  6 Hg 2.92



--- B ---
# AgHg2Cl

A crystal of AgHg2Cl relaxed with PBEsol (SCAN, the Alexandria database).

Output
Space group: Cm (8)

a b c (Å): 3.4009 5.5868 5.7368
angles (deg): 60.97 72.76 72.28
With the nearest neighbours (Å) after each atom.
Positions (direct):
Hg1 0.0043 0.0094 0.9820  2 Ag 2.82, 1 Cl 2.97, 1 Hg 3.11
Hg2 0.2107 0.2222 0.3563  3 Ag 2.89-3.00, 3 Hg 3.11-3.22
Ag1 0.4820 0.6420 0.3940  2 Cl 2.64, 4 Hg 2.82-2.89
Cl1 0.8030 0.6264 0.7677  2 Ag 2.64



Q: Which of them is the least stable? A: B.



--- A ---
# AgHgCl2

A crystal of AgHgCl2 relaxed with PBEsol (SCAN, the Alexandria database).

Output
Space group: R3m (160)

a b c (Å): 3.8500 3.8500 7.7148
angles (deg): 75.55 75.55 60.00
With the nearest neighbours (Å) after each atom.
Positions (direct):
Hg1 0.5052 0.5052 0.4844  3 Cl 2.69, 3 Ag 2.83
Ag1 0.2507 0.2507 0.2478  3 Cl 2.55, 3 Hg 2.83
Cl1 0.9736 0.9736 0.0791  3 Ag 2.55
Cl2 0.7704 0.7704 0.6887  3 Hg 2.69



--- B ---
# AgHgCl2

A crystal of AgHgCl2 relaxed with PBEsol (SCAN, the Alexandria database).

Output
Space group: R-3m (166)

a b c (Å): 3.7835 3.7835 8.7469
angles (deg): 77.51 77.51 60.00
With the nearest neighbours (Å) after each atom.
Positions (direct):
Hg1 0.5000 0.5000 0.5000  6 Cl 2.92
Ag1 0.0000 0.0000 0.0000  2 Cl 2.30
Cl1 0.9093 0.9093 0.2721  1 Ag 2.30
Cl2 0.0907 0.0907 0.7279  1 Ag 2.30



--- C ---
# AgHgCl2

A crystal of AgHgCl2 relaxed with PBEsol (SCAN, the Alexandria database).

Output
Space group: Pmmm (47)

a b c (Å): 4.0728 4.1289 5.4117
angles (deg): 90.00 90.00 90.00
With the nearest neighbours (Å) after each atom.
Positions (direct):
Hg1 0.5000 0.5000 0.0000  6 Cl 2.71-2.90
Ag1 0.0000 0.0000 0.5000  6 Cl 2.71-2.90
Cl1 0.0000 0.0000 0.0000  2 Ag 2.71, 4 Hg 2.90
Cl2 0.5000 0.5000 0.5000  2 Hg 2.71, 4 Ag 2.90



Q: Which of them is the least stable? A: B.